[1]
Density functional theory data (meta-GGA SCAN) for a crystal of KCrAg2 relaxed with PBEsol.

It has space group R-3m (No. 166, hexagonal axes), with a = 3.0593 Å, b = 3.0593 Å, c = 30.1796 Å, α = 90.00°, β = 90.00° and γ = 120.00°. Symmetry generates all atoms from K at (0.0000, 0.0000, 0.0000), Cr at (0.0000, 0.0000, 0.5000) and Ag at (0.0000, 0.0000, 0.2385).

The energy above the lowest structure with this stoichiometry is 210 meV/atom. The calculation puts the density of states at the Fermi level at 5.61 states/eV/cell. The value obtained for the formation energy is 2.00 eV per formula unit.

---

[2]
Density functional theory data (meta-GGA SCAN) for a crystal of K2CrAg relaxed with PBEsol.

It has space group I-4m2 (No. 119), with a = 5.4603 Å, b = 5.4603 Å, c = 7.7082 Å, α = 90.00°, β = 90.00° and γ = 90.00°. Symmetry generates all atoms from K at (0.0000, 0.0000, 0.0000), K at (0.0000, 0.5000, 0.2500), Cr at (0.0000, 0.5000, 0.7500) and Ag at (0.0000, 0.0000, 0.5000).

The energy above the lowest structure with this stoichiometry is 0 meV/atom. The calculation puts the density of states at the Fermi level at 2.70 states/eV/cell. The value obtained for the formation energy is 1.96 eV per formula unit.

---

[3]
Density functional theory data (meta-GGA SCAN) for a crystal of La2CrAg relaxed with PBEsol.

It has space group C2/m (No. 12), with a = 7.4953 Å, b = 3.2823 Å, c = 8.3744 Å, α = 90.00°, β = 97.18° and γ = 90.00°. Symmetry generates all atoms from La at (0.2479, 0.0000, 0.2695), Cr at (0.0000, 0.0000, 0.5000) and Ag at (0.0000, 0.5000, 0.0000).

The energy above the lowest structure with this stoichiometry is 240 meV/atom. The calculation puts the density of states at the Fermi level at 6.01 states/eV/cell. The value obtained for the formation energy is 0.78 eV per formula unit.

---

[4]
Density functional theory data (meta-GGA SCAN) for a crystal of La2CrAg relaxed with PBEsol.

It has space group P4/mmm (No. 123), with a = 5.2740 Å, b = 5.2740 Å, c = 3.6652 Å, α = 90.00°, β = 90.00° and γ = 90.00°. Symmetry generates all atoms from La at (0.0000, 0.5000, 0.0000), Cr at (0.0000, 0.0000, 0.5000) and Ag at (0.5000, 0.5000, 0.5000).

The energy above the lowest structure with this stoichiometry is 0 meV/atom. The calculation puts the density of states at the Fermi level at 3.14 states/eV/cell. The value obtained for the formation energy is -0.18 eV per formula unit.